(1)
The following is a GGA-PBEsol calculation of a relaxed structure of TlCrSnS2, from the Alexandria database. Values from VASP.

The structure in Quantum ESPRESSO input format:
```
&SYSTEM
  ibrav = 0, nat = 5, ntyp = 4
/
ATOMIC_SPECIES
S 32.06 S.upf
Cr 52.00 Cr.upf
Tl 204.38 Tl.upf
Sn 118.71 Sn.upf
ATOMIC_POSITIONS crystal
S 0.0000 0.5000 0.0000
S 0.5000 0.0000 0.0000
Cr 0.0000 0.0000 0.0000
Tl 0.0000 0.0000 0.5000
Sn 0.5000 0.5000 0.5000
CELL_PARAMETERS angstrom
-1.8732 3.9091 -0.5180
-2.5543 -1.6398 -3.1377
-3.7727 -1.3102 3.7560
```

(2)
The following is a GGA-PBEsol calculation of a relaxed structure of Ta3CrS6, from the Alexandria database. Values from VASP.

The structure in Quantum ESPRESSO input format:
```
&SYSTEM
  ibrav = 0, nat = 20, ntyp = 3
/
ATOMIC_SPECIES
Ta 180.95 Ta.upf
Cr 52.00 Cr.upf
S 32.06 S.upf
ATOMIC_POSITIONS crystal
Ta 0.0000 0.0000 0.0000
Ta 0.0000 0.0000 0.5000
Ta 0.3333 0.6667 0.5019
Ta 0.6667 0.3333 0.4981
Ta 0.6667 0.3333 0.0019
Ta 0.3333 0.6667 0.9981
Cr 0.3333 0.6667 0.2500
Cr 0.6667 0.3333 0.7500
S 0.6691 0.6677 0.1319
S 0.9986 0.3309 0.1319
S 0.3323 0.0014 0.1319
S 0.6677 0.6691 0.8681
S 0.3309 0.9986 0.8681
S 0.0014 0.3323 0.8681
S 0.3309 0.3323 0.6319
S 0.0014 0.6691 0.6319
S 0.6677 0.9986 0.6319
S 0.3323 0.3309 0.3681
S 0.6691 0.0014 0.3681
S 0.9986 0.6677 0.3681
CELL_PARAMETERS angstrom
-4.8451 0.3597 2.9552
1.8527 -5.0597 -1.8178
6.1041 -1.4226 10.1809
```

(3)
The following is a GGA-PBEsol calculation of a relaxed structure of TaCrS2, from the Alexandria database. Values from VASP.

The structure in Quantum ESPRESSO input format:
```
&SYSTEM
  ibrav = 0, nat = 4, ntyp = 3
/
ATOMIC_SPECIES
Cr 52.00 Cr.upf
S 32.06 S.upf
Ta 180.95 Ta.upf
ATOMIC_POSITIONS crystal
Cr 0.5000 0.5000 0.5000
S 0.8970 0.8970 0.3091
S 0.1030 0.1030 0.6909
Ta 0.0000 0.0000 0.0000
CELL_PARAMETERS angstrom
-2.1890 -1.8819 -0.4978
-0.6856 -2.0148 2.0129
-6.0833 3.7795 3.8429
```

(4)
The following is a GGA-PBEsol calculation of a relaxed structure of Zr2TaCrS, from the Alexandria database. Values from VASP.

The structure in Quantum ESPRESSO input format:
```
&SYSTEM
  ibrav = 0, nat = 5, ntyp = 4
/
ATOMIC_SPECIES
Cr 52.00 Cr.upf
S 32.06 S.upf
Zr 91.22 Zr.upf
Ta 180.95 Ta.upf
ATOMIC_POSITIONS crystal
Cr 0.5000 0.5000 0.5000
S 0.5000 0.0000 0.0000
Zr 0.0000 0.0000 0.5000
Zr 0.0000 0.5000 0.0000
Ta 0.0000 0.0000 0.0000
CELL_PARAMETERS angstrom
4.5534 0.0000 0.0000
0.0000 5.1259 0.0000
0.0000 0.0000 5.1259
```

(5)
The following is a GGA-PBEsol calculation of a relaxed structure of CrTe2S, from the Alexandria database. Values from VASP.

The structure in Quantum ESPRESSO input format:
```
&SYSTEM
  ibrav = 0, nat = 4, ntyp = 3
/
ATOMIC_SPECIES
Cr 52.00 Cr.upf
S 32.06 S.upf
Te 127.60 Te.upf
ATOMIC_POSITIONS crystal
Cr 0.5000 0.5000 0.5000
S 0.0000 0.0000 0.0000
Te 0.8946 0.8946 0.3162
Te 0.1054 0.1054 0.6838
CELL_PARAMETERS angstrom
-1.1016 -1.6655 3.3087
-0.1693 -3.8520 0.2616
7.1434 -2.0064 3.6253
```

(6)
The following is a GGA-PBEsol calculation of a relaxed structure of TlCrS2, from the Alexandria database. Values from VASP.

The structure in Quantum ESPRESSO input format:
```
&SYSTEM
  ibrav = 0, nat = 4, ntyp = 3
/
ATOMIC_SPECIES
Cr 52.00 Cr.upf
Tl 204.38 Tl.upf
S 32.06 S.upf
ATOMIC_POSITIONS crystal
Cr 0.0001 0.0001 0.9995
Tl 0.8338 0.8338 0.4986
S 0.3905 0.3905 0.8283
S 0.6087 0.6087 0.1737
CELL_PARAMETERS angstrom
3.5207 0.0002 0.0001
1.7605 3.0489 0.0001
1.7606 1.0165 7.2815
```

(7)
The following is a GGA-PBEsol calculation of a relaxed structure of Tl2V9CrS16, from the Alexandria database. Values from VASP.

The structure in Quantum ESPRESSO input format:
```
&SYSTEM
  ibrav = 0, nat = 28, ntyp = 4
/
ATOMIC_SPECIES
Tl 204.38 Tl.upf
V 50.94 V.upf
Cr 52.00 Cr.upf
S 32.06 S.upf
ATOMIC_POSITIONS crystal
Tl 0.5000 0.0000 0.0000
Tl 0.0000 0.5000 0.5000
V 0.5000 0.3524 0.2115
V 0.0000 0.8525 0.7108
V 0.0000 0.1475 0.2892
V 0.5000 0.6476 0.7885
V 0.5000 0.6481 0.1455
V 0.0000 0.1487 0.6462
V 0.0000 0.8513 0.3538
V 0.5000 0.3519 0.8545
V 0.0000 0.5000 0.0000
Cr 0.5000 0.0000 0.5000
S 0.5000 0.7344 0.4164
S 0.0000 0.2311 0.9150
S 0.0000 0.7689 0.0850
S 0.5000 0.2656 0.5836
S 0.5000 0.9177 0.2579
S 0.0000 0.4172 0.7582
S 0.0000 0.5828 0.2418
S 0.5000 0.0823 0.7421
S 0.5000 0.3426 0.3425
S 0.0000 0.8430 0.8415
S 0.0000 0.1570 0.1585
S 0.5000 0.6574 0.6575
S 0.5000 0.3873 0.0730
S 0.0000 0.8896 0.5712
S 0.0000 0.1104 0.4288
S 0.5000 0.6127 0.9270
CELL_PARAMETERS angstrom
3.1958 0.0000 0.0000
0.0000 8.3754 -0.0311
0.0000 -4.1197 16.5384
```

(8)
The following is a GGA-PBEsol calculation of a relaxed structure of Tm3CrS6, from the Alexandria database. Values from VASP.

The structure in Quantum ESPRESSO input format:
```
&SYSTEM
  ibrav = 0, nat = 40, ntyp = 3
/
ATOMIC_SPECIES
Tm 168.93 Tm.upf
Cr 52.00 Cr.upf
S 32.06 S.upf
ATOMIC_POSITIONS crystal
Tm 0.0000 0.5519 0.2783
Tm 0.0000 0.4481 0.7217
Tm 0.5000 0.9481 0.7783
Tm 0.5000 0.0519 0.2217
Tm 0.0000 0.7588 0.0971
Tm 0.0000 0.2412 0.9029
Tm 0.5000 0.7412 0.5971
Tm 0.5000 0.2588 0.4029
Tm 0.0000 0.3201 0.1479
Tm 0.0000 0.6799 0.8521
Tm 0.5000 0.1799 0.6479
Tm 0.5000 0.8201 0.3521
Cr 0.0000 0.0000 0.5000
Cr 0.5000 0.5000 0.0000
Cr 0.0000 0.0000 0.0000
Cr 0.5000 0.5000 0.5000
S 0.0000 0.1218 0.1083
S 0.0000 0.8782 0.8917
S 0.5000 0.3782 0.6083
S 0.5000 0.6218 0.3917
S 0.0000 0.1901 0.2900
S 0.0000 0.8099 0.7100
S 0.5000 0.3099 0.7900
S 0.5000 0.6901 0.2100
S 0.0000 0.1817 0.5204
S 0.0000 0.8183 0.4796
S 0.5000 0.3183 0.0204
S 0.5000 0.6817 0.9796
S 0.0000 0.5237 0.0981
S 0.0000 0.4763 0.9019
S 0.5000 0.9763 0.5981
S 0.5000 0.0237 0.4019
S 0.0000 0.1023 0.7545
S 0.0000 0.8977 0.2455
S 0.5000 0.3977 0.2545
S 0.5000 0.6023 0.7455
S 0.0000 0.4191 0.4233
S 0.0000 0.5809 0.5767
S 0.5000 0.0809 0.9233
S 0.5000 0.9191 0.0767
CELL_PARAMETERS angstrom
-1.2602 -1.8094 2.9396
12.1465 -1.5386 4.2599
-1.0398 13.4098 7.8084
```

(9)
The following is a GGA-PBEsol calculation of a relaxed structure of VCr2S4, from the Alexandria database. Values from VASP.

Values from the calculation:
Relative energy among the computed polymorphs in eV per atom: 0.059

The structure in Quantum ESPRESSO input format:
```
&SYSTEM
  ibrav = 0, nat = 7, ntyp = 3
/
ATOMIC_SPECIES
Cr 52.00 Cr.upf
S 32.06 S.upf
V 50.94 V.upf
ATOMIC_POSITIONS crystal
Cr 0.7421 0.7229 0.4842
Cr 0.2579 0.2771 0.5158
S 0.8791 0.5510 0.7582
S 0.1209 0.4490 0.2418
S 0.6328 0.9690 0.2655
S 0.3672 0.0310 0.7345
V 0.0000 0.0000 0.0000
CELL_PARAMETERS angstrom
-2.0504 2.5750 -0.5547
-4.6593 -3.7079 0.0103
2.7512 1.2300 5.5837
```

(10)
The following is a GGA-PBEsol calculation of a relaxed structure of VCr2S4, from the Alexandria database. Values from VASP.

Values from the calculation:
Relative energy among the computed polymorphs in eV per atom: 0.000

The structure in Quantum ESPRESSO input format:
```
&SYSTEM
  ibrav = 0, nat = 7, ntyp = 3
/
ATOMIC_SPECIES
Cr 52.00 Cr.upf
S 32.06 S.upf
V 50.94 V.upf
ATOMIC_POSITIONS crystal
Cr 0.7408 0.6841 0.4816
Cr 0.9998 0.9998 0.9996
S 0.3598 0.0192 0.7197
S 0.6396 0.9742 0.2792
S 0.1081 0.4537 0.2161
S 0.8937 0.5551 0.7874
V 0.2582 0.3140 0.5165
CELL_PARAMETERS angstrom
-2.8591 0.1141 1.4477
-2.3546 -2.7774 -4.4313
3.5170 -3.5504 3.6739
```

(11)
The following is a GGA-PBEsol calculation of a relaxed structure of CrW3S, from the Alexandria database. Values from VASP.

The structure in Quantum ESPRESSO input format:
```
&SYSTEM
  ibrav = 0, nat = 5, ntyp = 3
/
ATOMIC_SPECIES
Cr 52.00 Cr.upf
S 32.06 S.upf
W 183.84 W.upf
ATOMIC_POSITIONS crystal
Cr 0.5000 0.5000 0.5000
S 0.0000 0.0000 0.0000
W 0.0000 0.5000 0.0000
W 0.0000 0.0000 0.5000
W 0.5000 0.0000 0.0000
CELL_PARAMETERS angstrom
-2.6889 0.0882 3.4363
-2.5701 -2.9487 -1.9354
2.2827 -3.2161 1.8688
```

(12)
The following is a GGA-PBEsol calculation of a relaxed structure of Y3CrS, from the Alexandria database. Values from VASP.

The structure in Quantum ESPRESSO input format:
```
&SYSTEM
  ibrav = 0, nat = 5, ntyp = 3
/
ATOMIC_SPECIES
Y 88.91 Y.upf
Cr 52.00 Cr.upf
S 32.06 S.upf
ATOMIC_POSITIONS crystal
Y 0.0000 0.5000 0.0000
Y 0.0000 0.0000 0.5000
Y 0.5000 0.0000 0.0000
Cr 0.5000 0.5000 0.5000
S 0.0000 0.0000 0.0000
CELL_PARAMETERS angstrom
-3.3894 -3.1337 2.2255
2.9559 -0.2285 4.1800
-2.4568 4.0483 1.9587
```

| no. | E_form (uncorrected) (kJ/mol of atoms) |
| --- | --- |
| 1 | 10.0 |
| 2 | -110.3 |
| 3 | -34.9 |
| 4 | 99.1 |
| 5 | 14.6 |
| 6 | -54.0 |
| 7 | -93.0 |
| 8 | -171.8 |
| 9 | -76.7 |
| 10 | -82.4 |
| 11 | 101.7 |
| 12 | -32.1 |